# Li2TbWO6

A relaxed structure of Li2TbWO6 (PBE with a Hubbard U, the Alexandria database).

```
data_Li2TbWO6
_chemical_formula_sum 'Li4 Tb2 W2 O12'
_cell_length_a 5.466
_cell_length_b 5.438
_cell_length_c 9.606
_cell_angle_alpha 90.00
_cell_angle_beta 124.39
_cell_angle_gamma 90.00
_symmetry_space_group_name_H-M 'P 1 21/c 1'
_symmetry_Int_Tables_number 14
_symmetry_space_group_name_Hall '-P 2ybc'
loop_
_atom_site_label
_atom_site_fract_x
_atom_site_fract_y
_atom_site_fract_z
_atom_site_occupancy
Li1 0.207 0.021 0.239 1
Tb1 0.000 0.000 0.500 1
W1 0.500 0.000 0.000 1
O1 0.161 0.075 0.772 1
O2 0.241 0.637 0.556 1
O3 0.448 0.174 0.571 1
```

## Properties
The uncorrected energy is -135.90 eV for the cell shown.